Run P
# CoSbMoI2

CoSbMoI2 after structural relaxation (PBE, Alexandria).

Its crystal system is tetragonal. As for the calculated volume: 33.2 Å³/atom. For the total moment, the calculation gives 4.83 μB/f.u.

Cell lengths 5.6101, 5.6101, 5.2780 Å; angles 90.00, 90.00, 90.00 degrees
Space group P4/mmm (No. 123)
Unique sites:
Co (0.0000, 0.0000, 0.0000) x1
Sb (0.5000, 0.5000, 0.0000) x1
Mo (0.5000, 0.5000, 0.5000) x1
I (0.0000, 0.5000, 0.5000) x2

***

Run Q
# CoSbMoI2

CoSbMoI2 after structural relaxation (PBE, Alexandria).

Its crystal system is tetragonal. As for the calculated volume: 28.1 Å³/atom. For the total moment, the calculation gives 4.89 μB/f.u.

Cell lengths 5.4207, 5.4207, 4.7774 Å; angles 90.00, 90.00, 90.00 degrees
Space group P4/mmm (No. 123)
Unique sites:
Co (0.0000, 0.0000, 0.0000) x1
Sb (0.0000, 0.0000, 0.5000) x1
Mo (0.5000, 0.5000, 0.5000) x1
I (0.0000, 0.5000, 0.0000) x2

***

Which of them is the most stable? Correct choice: run Q.